Compound: LaZrNbN3
Source: Alexandria
Functional: PBE-GGA
Structure: optimized geometry

Geometry as CIF:
```
data_LaZrNbN3
_space_group_name_H-M_alt 'P 1'
_space_group_IT_number 1
_cell_length_a 3.3455
_cell_length_b 5.8066
_cell_length_c 8.6277
_cell_angle_alpha 103.17
_cell_angle_beta 90.00
_cell_angle_gamma 90.00
loop_
_space_group_symop_operation_xyz
'x,y,z'
loop_
_atom_site_label
_atom_site_type_symbol
_atom_site_fract_x
_atom_site_fract_y
_atom_site_fract_z
N1 N 0.2500 0.4341 0.8448
N2 N 0.7500 0.0345 0.1523
N3 N 0.2500 0.9655 0.8477
N4 N 0.7500 0.5659 0.1552
N5 N 0.7500 0.2386 0.5148
N6 N 0.2500 0.7614 0.4852
Zr1 Zr 0.2500 0.7674 0.0481
Zr2 Zr 0.7500 0.2326 0.9519
La1 La 0.7500 0.6437 0.6913
La2 La 0.2500 0.3563 0.3087
Nb1 Nb 0.2500 0.1210 0.6361
Nb2 Nb 0.7500 0.8790 0.3639
```

Values from the calculation:
E_form (uncorrected) (eV per formula unit): -8.405

***

Compound: PrH2Cl
Source: Alexandria
Functional: PBE-GGA
Structure: optimized geometry

Geometry as CIF:
```
data_PrH2Cl
_space_group_name_H-M_alt 'P 1'
_space_group_IT_number 1
_cell_length_a 3.3672
_cell_length_b 3.3672
_cell_length_c 5.5755
_cell_angle_alpha 90.00
_cell_angle_beta 90.00
_cell_angle_gamma 90.00
loop_
_space_group_symop_operation_xyz
'x,y,z'
loop_
_atom_site_label
_atom_site_type_symbol
_atom_site_fract_x
_atom_site_fract_y
_atom_site_fract_z
H1 H 0.0000 0.0000 0.8259
H2 H 0.0000 0.0000 0.1741
Pr1 Pr 0.5000 0.5000 0.0000
Cl1 Cl 0.5000 0.5000 0.5000
```

***

Compound: Dy3Te
Source: Alexandria
Functional: PBE-GGA
Structure: optimized geometry

Geometry as CIF:
```
data_Dy3Te
_space_group_name_H-M_alt 'P 1'
_space_group_IT_number 1
_cell_length_a 3.7812
_cell_length_b 5.9528
_cell_length_c 6.2907
_cell_angle_alpha 118.24
_cell_angle_beta 107.49
_cell_angle_gamma 90.00
loop_
_space_group_symop_operation_xyz
'x,y,z'
loop_
_atom_site_label
_atom_site_type_symbol
_atom_site_fract_x
_atom_site_fract_y
_atom_site_fract_z
Dy1 Dy 0.5000 0.4534 0.0000
Dy2 Dy 0.7230 0.0642 0.4461
Dy3 Dy 0.2770 0.6181 0.5539
Te1 Te 0.0000 0.0310 0.0000
```

Values from the calculation:
E_form (uncorrected) (eV per formula unit): -2.117

***

Number 1: E_tot -9.4877 eV/atom. Number 2: E_tot -3.7874 eV/atom. Number 3: E_tot -4.7662 eV/atom.